1.
{
  "formula": "Y2Tm3Tl4",
  "functional": "PBE-GGA",
  "state": "relaxed",
  "lattice": [[-3.2545, 3.6306, 5.1503], [-0.2486, -7.5124, 5.1386], [8.8105, 0.1191, 0.6004]],
  "species": ["Y", "Y", "Tl", "Tl", "Tl", "Tm", "Tm", "Tm", "Y", "Tl", "Tl", "Tm", "Tm", "Tl", "Tl", "Tl", "Y", "Tm"],
  "fractional_positions": [[0.6111, 0.9253, 0.2223], [0.3889, 0.0747, 0.7777], [0.2745, 0.2500, 0.0490], [0.1886, 0.9576, 0.3772], [0.6886, 0.5424, 0.3772], [0.5386, 0.7500, 0.5773], [0.0000, 0.0000, 0.0000], [0.5000, 0.5000, 0.0000], [0.1111, 0.5747, 0.2223], [0.7255, 0.7500, 0.9510], [0.3114, 0.4576, 0.6228], [0.4614, 0.2500, 0.4227], [0.9614, 0.2500, 0.4227], [0.8114, 0.0424, 0.6228], [0.2255, 0.7500, 0.9510], [0.7745, 0.2500, 0.0490], [0.8889, 0.4253, 0.7777], [0.0386, 0.7500, 0.5773]],
  "sg": "Cmce",
  "formation_energy_mev_per_atom": -201
}

***

2.
{
  "formula": "PrPa3P4",
  "functional": "PBE-GGA",
  "state": "relaxed",
  "lattice": [[4.0157, -0.0498, 0.0684], [0.0495, 6.6825, 1.9520], [-0.1138, 0.3888, 6.9501]],
  "species": ["Pa", "P", "Pa", "P", "P", "Pa", "Pr", "P"],
  "fractional_positions": [[0.5000, 0.0001, 0.5000], [0.0000, 0.2394, 0.2607], [0.0000, 0.5001, 0.5000], [0.4999, 0.2457, 0.7456], [0.5000, 0.7545, 0.2544], [0.0000, 0.0001, 0.0000], [0.5000, 0.5001, 0.0000], [0.0000, 0.7608, 0.7393]],
  "sg": "Cmmm",
  "formation_energy_mev_per_atom": -1353
}

***

3.
{
  "formula": "La2Sm5Er",
  "functional": "PBE-GGA",
  "state": "relaxed",
  "lattice": [[5.7254, 0.0000, 0.0000], [-2.8627, 6.0156, 0.0000], [0.0000, 0.0000, 16.2548]],
  "species": ["La", "Sm", "Sm", "Er", "La", "Sm", "Sm", "Sm", "Sm", "Sm", "La", "Sm", "Sm", "La", "Sm", "Er"],
  "fractional_positions": [[0.2184, 0.4369, 0.8703], [0.5375, 0.0750, 0.2500], [0.4625, 0.9250, 0.7500], [0.7410, 0.4821, 0.7500], [0.2184, 0.4369, 0.6297], [0.3838, 0.7675, 0.0513], [0.6162, 0.2325, 0.9487], [0.9207, 0.8413, 0.5910], [0.9207, 0.8413, 0.9090], [0.0793, 0.1587, 0.4090], [0.7816, 0.5631, 0.3703], [0.6162, 0.2325, 0.5513], [0.0793, 0.1587, 0.0910], [0.7816, 0.5631, 0.1297], [0.3838, 0.7675, 0.4487], [0.2590, 0.5179, 0.2500]],
  "sg": "Cmcm",
  "formation_energy_mev_per_atom": 128
}

***

4.
{
  "formula": "InSb2As2",
  "functional": "PBE-GGA",
  "state": "relaxed",
  "lattice": [[8.1750, 0.0000, 0.0000], [0.0000, 8.1750, 0.0000], [0.0000, 0.0000, 3.8506]],
  "species": ["Sb", "As", "In", "As", "Sb", "As", "Sb", "In", "Sb", "As"],
  "fractional_positions": [[0.6588, 0.8412, 0.5000], [0.8295, 0.6705, 0.0000], [0.0000, 0.0000, 0.0000], [0.1705, 0.3295, 0.0000], [0.3412, 0.1588, 0.5000], [0.3295, 0.8295, 0.0000], [0.8412, 0.3412, 0.5000], [0.5000, 0.5000, 0.0000], [0.1588, 0.6588, 0.5000], [0.6705, 0.1705, 0.0000]],
  "formation_energy_uncorrected_ev_per_atom": 0.17,
  "sg": "P4/mbm"
}

***

5.
{
  "formula": "Sr2TlCdRh",
  "functional": "PBE-GGA",
  "state": "relaxed",
  "lattice": [[5.7645, 0.0000, 0.0000], [0.0000, 5.7645, 0.0000], [0.0000, 0.0000, 5.2584]],
  "species": ["Sr", "Sr", "Cd", "Tl", "Rh"],
  "fractional_positions": [[0.0000, 0.5000, 0.0000], [0.5000, 0.0000, 0.0000], [0.5000, 0.5000, 0.5000], [0.0000, 0.0000, 0.5000], [0.0000, 0.0000, 0.0000]],
  "sg": "P4/mmm",
  "formation_energy_mev_per_atom": -218
}

***

6.
{
  "formula": "Cd2GeO4",
  "functional": "PBE-GGA",
  "state": "relaxed",
  "lattice": [[-0.9264, 5.1842, -0.4683], [-6.5835, -1.1793, -0.0316], [-0.2311, 0.9856, 11.3678]],
  "species": ["O", "Cd", "O", "O", "O", "Ge", "Cd", "O", "Ge", "O", "O", "O", "O", "Cd", "Cd", "Cd", "O", "O", "O", "Ge", "Cd", "O", "O", "O", "Ge", "O", "Cd", "Cd"],
  "fractional_positions": [[0.2202, 0.4606, 0.3354], [0.4898, 0.7500, 0.7803], [0.2798, 0.0394, 0.8354], [0.7202, 0.9606, 0.1646], [0.7100, 0.7500, 0.9533], [0.9332, 0.7500, 0.5979], [0.5000, 0.5000, 0.5000], [0.7202, 0.5394, 0.1646], [0.5668, 0.7500, 0.0979], [0.7798, 0.5394, 0.6646], [0.7798, 0.9606, 0.6646], [0.2798, 0.4606, 0.8354], [0.7667, 0.2500, 0.9029], [0.9898, 0.2500, 0.7197], [0.5000, 0.0000, 0.5000], [0.0102, 0.7500, 0.2803], [0.2900, 0.2500, 0.0467], [0.2333, 0.7500, 0.0971], [0.2667, 0.7500, 0.5971], [0.0668, 0.2500, 0.4021], [0.0000, 0.5000, 0.0000], [0.2100, 0.2500, 0.5467], [0.7900, 0.7500, 0.4533], [0.2202, 0.0394, 0.3354], [0.4332, 0.2500, 0.9021], [0.7333, 0.2500, 0.4029], [0.5102, 0.2500, 0.2197], [0.0000, 0.0000, 0.0000]],
  "formation_energy_uncorrected_ev_per_atom": -1.38,
  "sg": "Pnma"
}

***

7.
{
  "formula": "HfAgPb",
  "functional": "PBE-GGA",
  "state": "relaxed",
  "lattice": [[-3.1327, 0.8753, 0.6277], [0.8172, -0.4467, 4.7012], [0.7405, 4.2076, -2.1718]],
  "species": ["Hf", "Pb", "Ag"],
  "fractional_positions": [[0.0216, 0.0000, 0.0000], [0.5974, 0.6667, 0.3333], [0.3810, 0.3333, 0.6667]],
  "sg": "P3m1",
  "formation_energy_mev_per_atom": 161
}

***

8.
{
  "formula": "TbPrTe2S",
  "functional": "PBE-GGA",
  "state": "relaxed",
  "lattice": [[-0.3682, -2.5983, -3.6268], [-2.1024, -3.1087, 2.4405], [-13.8907, 6.7212, -3.4051]],
  "species": ["Tb", "Pr", "S", "Tb", "Te", "Te", "Te", "Te", "Pr", "S"],
  "fractional_positions": [[0.0000, 0.5000, 0.8889], [0.0000, 0.5000, 0.3938], [0.5000, 0.5000, 0.5000], [0.5000, 0.0000, 0.1111], [0.0000, 0.5000, 0.7044], [0.0000, 0.5000, 0.0931], [0.5000, 0.0000, 0.2956], [0.5000, 0.0000, 0.9069], [0.5000, 0.0000, 0.6062], [0.0000, 0.0000, 0.5000]],
  "formation_energy_uncorrected_ev_per_atom": -1.50,
  "sg": "P4/nmm"
}

***

Number 1: uncorrected energy -4.18 eV per atom, density 9551 kg/m³. Number 2: uncorrected energy -8.22 eV per atom, density 8666 kg/m³. Number 3: uncorrected energy -4.62 eV per atom, density 7100 kg/m³. Number 4: uncorrected energy -3.88 eV per atom, density 6558 kg/m³. Number 5: uncorrected energy -3.02 eV per atom, density 5654 kg/m³. Number 6: uncorrected energy -5.13 eV per atom, density 5949 kg/m³. Number 7: uncorrected energy -5.34 eV per atom, density 12438 kg/m³. Number 8: uncorrected energy -5.46 eV per atom, density 6157 kg/m³.